## A
{"formula": "Li2CrNi", "functional": "PBE-GGA", "state": "relaxed", "magmom_total_mub_per_cell": 0.0, "dos_ef_per_ev_fu": 6.3, "spacegroup": "Fm-3m, No. 225", "mass_density_g_cm3": 4.476, "lattice_angstrom": [[0.0000, 2.8482, 2.8482], [2.8482, 0.0000, 2.8482], [2.8482, 2.8482, 0.0000]], "species": ["Li", "Li", "Cr", "Ni"], "fractional_positions": [[0.2500, 0.2500, 0.2500], [0.7500, 0.7500, 0.7500], [0.0000, 0.0000, 0.0000], [0.5000, 0.5000, 0.5000]]}

***

## B
{"formula": "Li2CrNi", "functional": "PBE-GGA", "state": "relaxed", "magmom_total_mub_per_cell": 0.9, "dos_ef_per_ev_fu": 3.9, "spacegroup": "P4mm, No. 99", "mass_density_g_cm3": 3.912, "lattice_angstrom": [[2.5286, 0.0000, 0.0000], [0.0000, 2.5286, 0.0000], [0.0000, 0.0000, 8.2691]], "species": ["Li", "Li", "Cr", "Ni"], "fractional_positions": [[0.0000, 0.0000, 0.0000], [0.5000, 0.5000, 0.3030], [0.5000, 0.5000, 0.7304], [0.0000, 0.0000, 0.5289]]}

***

## C
{"formula": "Li2CrNi", "functional": "PBE-GGA", "state": "relaxed", "magmom_total_mub_per_cell": 0.4, "dos_ef_per_ev_fu": 4.8, "spacegroup": "P4/mmm, No. 123", "mass_density_g_cm3": 4.289, "lattice_angstrom": [[2.3673, 0.0000, 0.0000], [0.0000, 2.3673, 0.0000], [0.0000, 0.0000, 8.6049]], "species": ["Li", "Li", "Cr", "Ni"], "fractional_positions": [[0.0000, 0.0000, 0.2321], [0.0000, 0.0000, 0.7679], [0.5000, 0.5000, 0.5000], [0.5000, 0.5000, 0.0000]]}

***

Least stable structure: A